[1]
{"formula": "VGaRu", "functional": "GGA-PBE", "state": "relaxed", "cell": [[-0.491, -2.600, -1.520], [6.962, 1.768, -5.271], [3.699, -2.972, 3.889]], "species": ["V", "Ru", "Ga", "Ru", "Ga", "V", "Ru", "Ru", "Ga", "Ga", "V", "V"], "frac_coords": [[0.250, 0.415, 0.606], [0.750, 0.262, 0.880], [0.250, 0.087, 0.642], [0.250, 0.762, 0.620], [0.750, 0.587, 0.858], [0.250, 0.085, 0.106], [0.750, 0.238, 0.380], [0.250, 0.738, 0.120], [0.250, 0.413, 0.142], [0.750, 0.913, 0.358], [0.750, 0.585, 0.394], [0.750, 0.915, 0.894]], "spacegroup": "Pnma", "ef_ev_per_fu": -0.93}

[2]
{"formula": "V12Ga3Ru", "functional": "GGA-PBE", "state": "relaxed", "cell": [[4.766, 0.000, 0.000], [0.000, 4.782, 0.000], [0.000, 0.000, 9.566]], "species": ["V", "V", "Ru", "Ga", "V", "V", "Ga", "V", "V", "V", "V", "V", "V", "V", "Ga", "V"], "frac_coords": [[0.749, 0.500, 0.000], [0.500, 0.000, 0.129], [0.000, 0.000, 0.500], [0.000, 0.000, 0.000], [0.000, 0.755, 0.747], [0.753, 0.500, 0.500], [0.500, 0.500, 0.249], [0.251, 0.500, 0.000], [0.000, 0.245, 0.747], [0.000, 0.245, 0.253], [0.500, 0.000, 0.380], [0.500, 0.000, 0.871], [0.000, 0.755, 0.253], [0.247, 0.500, 0.500], [0.500, 0.500, 0.751], [0.500, 0.000, 0.620]], "spacegroup": "Pmmm", "ef_ev_per_fu": -3.48}

[3]
{"formula": "VGa2Ru2", "functional": "GGA-PBE", "state": "relaxed", "cell": [[6.873, 0.000, 0.000], [0.000, 6.873, 0.000], [0.000, 0.000, 3.124]], "species": ["Ga", "Ru", "Ga", "Ga", "V", "Ru", "Ru", "V", "Ru", "Ga"], "frac_coords": [[0.655, 0.845, 0.500], [0.855, 0.645, 0.000], [0.845, 0.345, 0.500], [0.345, 0.155, 0.500], [0.000, 0.000, 0.000], [0.145, 0.355, 0.000], [0.355, 0.855, 0.000], [0.500, 0.500, 0.000], [0.645, 0.145, 0.000], [0.155, 0.655, 0.500]], "spacegroup": "P4/mbm", "relative_energy_mev_per_atom": 55.6, "ef_ev_per_fu": -0.38}

no.,uncorrected energy (eV for the cell shown)
1,-89.39
2,-131.25
3,-68.22